Entry 1:
GGA-PBE PuPa2Se6, relaxed; space group = C2/m, No. 12; electronic total energy = -7.297 eV per atom; raw formation energy = -1.27 eV/atom
1.0
7.090 -2.714 0.000
7.090 2.714 0.000
-5.655 0.000 7.422
Pu Pa Se
1 2 6
Cartesian
0.000 0.000 0.000
-0.845 0.000 4.514
9.371 0.000 2.909
-3.497 0.000 5.368
1.546 0.000 2.803
-0.109 0.000 7.070
8.635 0.000 0.353
6.979 0.000 4.620
12.023 0.000 2.054


Entry 2:
GGA-PBE Pu2PaSe4, relaxed; ΔE to the lowest computed polymorph = 0 meV/atom; space group = I-42d, No. 122; electronic total energy = -8.924 eV per atom; raw formation energy = -1.48 eV/atom
1.0
-4.368 4.368 4.375
4.368 -4.368 4.375
4.368 4.368 -4.375
Pu Pa Se
4 2 8
Cartesian
-1.073 2.184 1.094
2.184 3.294 3.281
1.073 6.551 1.094
-2.184 5.441 3.281
4.368 0.000 2.187
0.000 0.000 4.375
2.827 3.721 -2.608
5.014 1.540 -0.420
1.540 0.646 1.767
1.540 3.721 0.420
2.827 0.646 4.795
5.014 2.827 2.608
-0.646 2.827 3.955
-0.646 1.540 6.983


Entry 3:
GGA-PBE PuPa3Se6, relaxed; space group = P2_1/m, No. 11; electronic total energy = -7.690 eV per atom; raw formation energy = -1.32 eV/atom
1.0
11.605 0.000 0.000
0.000 3.999 0.000
-3.722 0.000 11.395
Pu Pa Se
2 6 12
Cartesian
-0.169 1.000 2.174
8.052 2.999 9.221
-0.532 1.000 6.515
3.671 2.999 0.007
3.777 1.000 3.839
4.106 2.999 7.556
4.212 1.000 11.388
8.415 2.999 4.880
-0.378 2.999 4.449
-2.180 1.000 10.980
-0.543 2.999 8.541
2.169 2.999 2.545
2.386 1.000 6.388
5.283 1.000 1.421
2.600 2.999 9.974
5.497 2.999 5.007
5.714 1.000 8.850
8.426 1.000 2.854
10.063 2.999 0.415
8.261 1.000 6.946


Entry 4:
GGA-PBE Pu2Pa2Se7, relaxed; ΔE to the lowest computed polymorph = 93 meV/atom; space group = P-4m2, No. 115; electronic total energy = -7.854 eV per atom; raw formation energy = -1.30 eV/atom
1.0
4.825 0.000 0.000
0.000 4.825 0.000
0.000 0.000 13.660
Pu Pa Se
2 2 7
Cartesian
0.000 2.412 1.814
2.412 0.000 11.845
0.000 2.412 8.589
2.412 0.000 5.071
0.000 0.000 3.351
0.000 0.000 6.830
0.000 0.000 10.309
2.412 2.412 0.000
2.412 2.412 3.517
2.412 2.412 6.830
2.412 2.412 10.143


Entry 5:
GGA-PBE PuPaSe, relaxed; ΔE to the lowest computed polymorph = 38 meV/atom; space group = Pmmn, No. 59; electronic total energy = -9.761 eV per atom; raw formation energy = -0.66 eV/atom
1.0
3.783 0.000 0.000
0.000 3.826 0.000
0.000 0.000 10.288
Pu Pa Se
2 2 2
Cartesian
0.946 0.956 2.145
2.837 2.869 8.143
0.946 0.956 6.091
2.837 2.869 4.197
0.946 0.956 9.098
2.837 2.869 1.190


Entry 6:
GGA-PBE PuPa2Se4, relaxed; ΔE to the lowest computed polymorph = 50 meV/atom; space group = Cmcm, No. 63; electronic total energy = -8.063 eV per atom; raw formation energy = -1.31 eV/atom
1.0
2.019 -6.604 0.000
2.019 6.604 0.000
0.000 0.000 13.988
Pu Pa Se
2 4 8
Cartesian
2.019 5.144 10.491
2.019 -5.144 3.497
2.019 1.830 7.868
2.019 1.830 13.113
2.019 -1.830 0.874
2.019 -1.830 6.120
0.000 0.000 0.000
0.000 0.000 6.994
2.019 2.920 1.806
2.019 2.920 5.188
2.019 0.685 10.491
2.019 -0.685 3.497
2.019 -2.920 8.800
2.019 -2.920 12.181


Entry 7:
GGA-PBE Pu5PaSe6, relaxed; space group = C2/m, No. 12; electronic total energy = -9.963 eV per atom; raw formation energy = -1.46 eV/atom
1.0
3.586 -6.197 0.000
3.586 6.197 0.000
-2.383 0.000 6.754
Pu Pa Se
5 1 6
Cartesian
0.000 0.000 0.000
2.394 4.132 3.377
3.586 2.075 0.000
3.586 -2.075 0.000
2.394 -4.132 3.377
2.394 0.000 3.377
1.200 2.060 1.694
0.012 0.000 5.067
1.200 -2.060 1.694
3.589 2.060 5.060
4.776 0.000 1.687
3.589 -2.060 5.060


Entry 8:
GGA-PBE Pu2PaSe, relaxed; space group = P4/mmm, No. 123; electronic total energy = -10.830 eV per atom; raw formation energy = -0.42 eV/atom
1.0
3.801 0.000 0.000
0.000 3.801 0.000
0.000 0.000 6.399
Pu Pa Se
2 1 1
Cartesian
0.000 0.000 1.521
0.000 0.000 4.878
1.901 1.901 3.200
1.901 1.901 0.000


| no. | calculated volume (Å³/atom) |
| --- | --- |
| 1 | 31.74 |
| 2 | 23.84 |
| 3 | 26.44 |
| 4 | 28.91 |
| 5 | 24.82 |
| 6 | 26.64 |
| 7 | 25.01 |
| 8 | 23.12 |